# Mn4InW2

A geometry-optimized Mn4InW2 structure (PBE-GGA, the Alexandria database).

## Properties
The formation energy comes out at 1538 meV per atom. For the density of states at the Fermi level, the calculation gives 8.27 states/eV/cell. The total energy comes out at -54.6 eV/cell. As for the space group: No. 139.

Lattice parameters (Å, degrees): 7.229 7.229 7.229 140.92 140.92 56.45
Atoms (fractional coordinates):
1 Mn 0.000 0.500 0.500
2 Mn 0.207 0.207 0.000
3 Mn 0.500 0.000 0.500
4 Mn 0.793 0.793 0.000
5 In 0.000 0.000 0.000
6 W 0.408 0.408 0.000
7 W 0.592 0.592 0.000

# Nd12NiBi6

A geometry-optimized Nd12NiBi6 structure (PBE-GGA, the Alexandria database).

## Properties
The formation energy comes out at -484 meV per atom. For the density of states at the Fermi level, the calculation gives 15.47 states/eV/cell. The total energy comes out at -95.5 eV/cell. As for the space group: No. 148.

Lattice parameters (Å, degrees): 8.930 8.930 8.930 99.37 99.37 99.37
Atoms (fractional coordinates):
1 Nd 0.007 0.946 0.689
2 Nd 0.054 0.311 0.993
3 Nd 0.197 0.550 0.418
4 Nd 0.311 0.993 0.054
5 Nd 0.418 0.197 0.550
6 Nd 0.450 0.582 0.803
7 Nd 0.550 0.418 0.197
8 Nd 0.582 0.803 0.450
9 Nd 0.689 0.007 0.946
10 Nd 0.803 0.450 0.582
11 Nd 0.946 0.689 0.007
12 Nd 0.993 0.054 0.311
13 Ni 0.000 0.000 0.000
14 Bi 0.120 0.314 0.647
15 Bi 0.314 0.647 0.120
16 Bi 0.353 0.880 0.686
17 Bi 0.647 0.120 0.314
18 Bi 0.686 0.353 0.880
19 Bi 0.880 0.686 0.353

# NaH3W

A geometry-optimized NaH3W structure (PBE-GGA, the Alexandria database).

## Properties
For the density of states at the Fermi level, the calculation gives 1.06 states/eV/cell. The total energy comes out at -18.1 eV/cell. Its energy above the most stable polymorph in this dataset is 877.7 meV/atom. As for the space group: No. 221.

Lattice parameters (Å, degrees): 3.514 3.514 3.514 90.00 90.00 90.00
Atoms (fractional coordinates):
1 Na 0.000 0.000 0.000
2 H 0.000 0.000 0.500
3 H 0.000 0.500 0.000
4 H 0.500 0.000 0.000
5 W 0.500 0.500 0.500

# TaCoAu3

A geometry-optimized TaCoAu3 structure (PBE-GGA, the Alexandria database).

## Properties
The formation energy comes out at 1238 meV per atom. For the density of states at the Fermi level, the calculation gives 12.14 states/eV/cell. The total energy comes out at -22.6 eV/cell. Its energy above the most stable polymorph in this dataset is 0.0 meV/atom. As for the space group: No. 221.

Lattice parameters (Å, degrees): 4.656 4.656 4.656 90.00 90.00 90.00
Atoms (fractional coordinates):
1 Ta 0.000 0.000 0.000
2 Co 0.500 0.500 0.500
3 Au 0.000 0.500 0.500
4 Au 0.500 0.000 0.500
5 Au 0.500 0.500 0.000

The highest total energy belongs to which entry?
NaH3W

Which value of total energy does entry 2 give?
-95.5 eV/cell

Number 4 is which compound?
TaCoAu3

total energy of number 1 (Mn4InW2)?
-54.6 eV/cell